TlCuC: optimized geometry, GGA-PBE.

Properties
Energy of formation ... 0.6123 eV/atom
Calculated total energy ... -4.62 eV per atom

```
data_TlCuC
_space_group_name_H-M_alt 'P 1'
_space_group_IT_number 1
_cell_length_a 3.654
_cell_length_b 4.977
_cell_length_c 6.562
_cell_angle_alpha 82.10
_cell_angle_beta 89.88
_cell_angle_gamma 89.65
loop_
_space_group_symop_operation_xyz
'x,y,z'
loop_
_atom_site_label
_atom_site_type_symbol
_atom_site_fract_x
_atom_site_fract_y
_atom_site_fract_z
_atom_site_occupancy
Tl1 Tl 0.000 0.000 0.000 1
Tl2 Tl 0.001 0.424 0.340 1
Cu1 Cu 0.501 0.295 0.662 1
Cu2 Cu 0.504 0.516 0.996 1
C1 C 0.500 0.664 0.692 1
C2 C 0.500 0.921 0.675 1
```